Entry from Alexandria via LeMat-Bulk: ReBr2 after structural relaxation (PBE).

a = 3.233 Å, b = 3.233 Å, c = 15.043 Å
α = 90.00°, β = 90.00°, γ = 120.00°
Each line ends with the local moment (μB).
Positions (direct):
Re: 0.000 0.000 0.750  1.05
Re: 0.000 0.000 0.250  1.05
Br: 0.333 0.667 0.621  0.06
Br: 0.333 0.667 0.879  0.06
Br: 0.667 0.333 0.379  0.06
Br: 0.667 0.333 0.121  0.06

## Properties
The relative energy among the computed polymorphs comes out at 78.7 kJ per mole of atoms. The value obtained for the volume is 136 Å³/cell. Its mass density is 8.44 Mg/m³. The value obtained for the total DFT energy (no corrections) is -4.444 eV per atom.

---

Entry from Alexandria via LeMat-Bulk: PmSm2I after structural relaxation (PBE).

a = 3.700 Å, b = 3.700 Å, c = 9.738 Å
α = 90.00°, β = 90.00°, γ = 90.00°
Positions (direct):
Sm: 0.000 0.000 0.759
I: 0.500 0.500 0.000
Sm: 0.000 0.000 0.241
Pm: 0.500 0.500 0.500

## Properties
The relative energy among the computed polymorphs comes out at 6.4 kJ per mole of atoms. The value obtained for the volume is 133 Å³/cell. Its mass density is 7.13 Mg/m³. The value obtained for the total DFT energy (no corrections) is -4.257 eV per atom.

---

Entry from Alexandria via LeMat-Bulk: BaY2Si after structural relaxation (PBE).

a = 3.962 Å, b = 3.962 Å, c = 8.496 Å
α = 90.00°, β = 90.00°, γ = 90.00°
Each line ends with the local moment (μB).
Positions (direct):
Ba: 0.000 0.000 0.546  0.01
Y: 0.500 0.500 0.182  0.21
Si: 0.500 0.500 0.836  -0.01
Y: 0.000 0.000 0.937  0.15

## Properties
The value obtained for the volume is 133 Å³/cell. Its mass density is 4.27 Mg/m³. The value obtained for the total DFT energy (no corrections) is -5.232 eV per atom.

---

Entry from Alexandria via LeMat-Bulk: CdSn2Au3 after structural relaxation (PBE).

a = 4.269 Å, b = 5.803 Å, c = 10.855 Å
α = 90.00°, β = 90.00°, γ = 90.00°
Positions (direct):
Sn: 0.000 0.992 0.273
Au: 0.000 0.742 0.500
Cd: 0.000 0.492 0.028
Sn: 0.000 0.492 0.727
Au: 0.500 0.245 0.855
Sn: 0.500 0.992 0.625
Au: 0.500 0.745 0.145
Cd: 0.000 0.992 0.972
Au: 0.500 0.239 0.145
Sn: 0.500 0.492 0.375
Au: 0.500 0.739 0.855
Au: 0.000 0.242 0.500

## Properties
The relative energy among the computed polymorphs comes out at 0.0 kJ per mole of atoms. Its formation energy is -0.156 eV/atom. The value obtained for the volume is 269 Å³/cell. Its mass density is 11.62 Mg/m³. The value obtained for the total DFT energy (no corrections) is -3.282 eV per atom.

---

Entry from Alexandria via LeMat-Bulk: NaCdSn3 after structural relaxation (PBE).

a = 5.037 Å, b = 5.037 Å, c = 6.959 Å
α = 109.51°, β = 109.51°, γ = 94.56°
Positions (direct):
Sn: 0.013 0.013 0.024
Cd: 0.780 0.780 0.560
Sn: 0.151 0.652 0.303
Na: 0.401 0.401 0.802
Sn: 0.652 0.151 0.303

## Properties
The relative energy among the computed polymorphs comes out at 0.0 kJ per mole of atoms. Its formation energy is -0.037 eV/atom. The value obtained for the volume is 153 Å³/cell. Its mass density is 5.33 Mg/m³. The value obtained for the total DFT energy (no corrections) is -2.885 eV per atom.

---

Entry from Alexandria via LeMat-Bulk: NbPH2 after structural relaxation (PBE).

a = 3.741 Å, b = 3.741 Å, c = 3.741 Å
α = 60.00°, β = 60.00°, γ = 60.00°
Positions (direct):
H: 0.250 0.250 0.250
H: 0.750 0.750 0.750
Nb: 0.500 0.500 0.500
P: 0.000 0.000 0.000

## Properties
The relative energy among the computed polymorphs comes out at 4.0 kJ per mole of atoms. The value obtained for the volume is 37 Å³/cell. Its mass density is 5.65 Mg/m³. The value obtained for the total DFT energy (no corrections) is -5.068 eV per atom.

---

Entry from Alexandria via LeMat-Bulk: Na3Zr2ScSe6 after structural relaxation (PBE).

a = 6.710 Å, b = 6.710 Å, c = 7.466 Å
α = 98.61°, β = 98.61°, γ = 120.00°
Positions (direct):
Sc: 0.000 0.000 0.000
Se: 0.593 0.925 0.775
Se: 0.925 0.593 0.775
Na: 0.500 0.500 0.500
Zr: 0.666 0.334 0.000
Se: 0.257 0.257 0.775
Zr: 0.334 0.666 0.000
Se: 0.743 0.743 0.225
Na: 0.167 0.833 0.500
Se: 0.407 0.075 0.225
Se: 0.075 0.407 0.225
Na: 0.833 0.167 0.500

## Properties
The value obtained for the volume is 278 Å³/cell. Its mass density is 4.60 Mg/m³. The value obtained for the total DFT energy (no corrections) is -5.413 eV per atom.

---

Entry from Alexandria via LeMat-Bulk: AgGeBr2 after structural relaxation (PBE).

a = 9.164 Å, b = 9.164 Å, c = 9.164 Å
α = 24.32°, β = 24.32°, γ = 24.32°
Positions (direct):
Br: 0.900 0.900 0.900
Br: 0.100 0.100 0.100
Ag: 0.500 0.500 0.500
Ge: 0.000 0.000 0.000

## Properties
The relative energy among the computed polymorphs comes out at 0.0 kJ per mole of atoms. The value obtained for the volume is 115 Å³/cell. Its mass density is 4.93 Mg/m³. The value obtained for the total DFT energy (no corrections) is -2.732 eV per atom.